1.
## CsLiSiGe2 (PBE-GGA)

Data for crystalline CsLiSiGe2 at its relaxed geometry.

Values from the calculation:
Total magnetization = 0.00 μB per formula unit
Formation energy without anion corrections = 25.0 kJ/mol of atoms

Lattice parameters (Å, degrees): 5.069 5.295 5.069 90.00 90.00 90.00
Positions (direct):
Li 0.000 0.500 0.000
Si 0.000 0.000 0.000
Cs 0.500 0.500 0.500
Ge 0.000 0.000 0.500
Ge 0.500 0.000 0.000



2.
## CsLiGeTe2 (PBE-GGA)

Data for crystalline CsLiGeTe2 at its relaxed geometry.

Values from the calculation:
Total magnetization = 0.00 μB per formula unit
Formation energy without anion corrections = -44.7 kJ/mol of atoms

Lattice parameters (Å, degrees): 7.308 5.580 9.237 107.58 90.00 90.00
Positions (direct):
Ge 0.000 0.000 0.000
Te 0.286 0.395 0.789
Te 0.714 0.605 0.211
Te 0.714 0.895 0.789
Ge 0.000 0.500 0.000
Cs 0.238 0.750 0.500
Cs 0.762 0.250 0.500
Li 0.500 0.750 0.000
Te 0.286 0.105 0.211
Li 0.500 0.250 0.000



> Among the records above, which one has the lowest formation energy without anion corrections?

CsLiGeTe2



What did the first record say?
## CsLiSiGe2 (PBE-GGA)

Data for crystalline CsLiSiGe2 at its relaxed geometry.

Values from the calculation:
Total magnetization = 0.00 μB per formula unit
Formation energy without anion corrections = 25.0 kJ/mol of atoms

Lattice parameters (Å, degrees): 5.069 5.295 5.069 90.00 90.00 90.00
Positions (direct):
Li 0.000 0.500 0.000
Si 0.000 0.000 0.000
Cs 0.500 0.500 0.500
Ge 0.000 0.000 0.500
Ge 0.500 0.000 0.000



> What is the formula in the second record?

CsLiGeTe2



> Which value of total magnetization does entry 1 give?

0.00 μB per formula unit